Entry 1:
Compound: Pr2TaReN6
Source: Alexandria
Functional: PBE
Structure: optimized geometry

Unit cell a=5.671 b=5.681 c=9.782 alpha=90.00 beta=125.24 gamma=90.00
Element x y z (fractional)
Pr: 0.244 0.032 0.250
Pr: 0.244 0.468 0.750
Pr: 0.756 0.532 0.250
Pr: 0.756 0.968 0.750
Ta: 0.500 0.000 0.000
Ta: 0.500 0.500 0.500
Re: 0.000 0.000 0.500
Re: 0.000 0.500 0.000
N: 0.180 0.223 0.964
N: 0.180 0.277 0.464
N: 0.237 0.715 0.964
N: 0.237 0.785 0.464
N: 0.312 0.009 0.744
N: 0.312 0.491 0.244
N: 0.688 0.509 0.756
N: 0.688 0.991 0.256
N: 0.763 0.215 0.536
N: 0.763 0.285 0.036
N: 0.820 0.723 0.536
N: 0.820 0.777 0.036

The value obtained for the formation energy without anion corrections is -0.883 eV/atom. The value obtained for the total moment is 0.00 μB/cell. Its space group is P2_1/c (14). The density of states at the Fermi level is 0.5107 states/eV/atom. As for the total energy: -9.265 eV/atom.

***

Entry 2:
Compound: Pr2ReTcN5
Source: Alexandria
Functional: PBE
Structure: optimized geometry

Unit cell a=3.910 b=3.910 c=8.118 alpha=90.00 beta=90.00 gamma=90.00
Element x y z (fractional)
Pr: 0.000 0.000 0.220
Pr: 0.000 0.000 0.780
Re: 0.500 0.500 0.000
Tc: 0.500 0.500 0.500
N: 0.000 0.000 0.500
N: 0.000 0.500 0.000
N: 0.500 0.000 0.000
N: 0.500 0.500 0.266
N: 0.500 0.500 0.734

The value obtained for the formation energy without anion corrections is -0.436 eV/atom. The value obtained for the total moment is 0.23 μB/cell. Its space group is P4/mmm (123). The density of states at the Fermi level is 0.3379 states/eV/atom. As for the total energy: -8.658 eV/atom.

***

Entry 3:
Compound: Pr2ReTcN6
Source: Alexandria
Functional: PBE
Structure: optimized geometry

Unit cell a=5.578 b=5.579 c=9.698 alpha=90.00 beta=125.07 gamma=90.00
Element x y z (fractional)
Pr: 0.248 0.029 0.250
Pr: 0.248 0.471 0.750
Pr: 0.752 0.529 0.250
Pr: 0.752 0.971 0.750
Re: 0.000 0.000 0.500
Re: 0.000 0.500 0.000
Tc: 0.500 0.000 0.000
Tc: 0.500 0.500 0.500
N: 0.190 0.219 0.972
N: 0.190 0.281 0.472
N: 0.251 0.717 0.972
N: 0.251 0.783 0.472
N: 0.305 0.006 0.749
N: 0.305 0.494 0.249
N: 0.695 0.506 0.751
N: 0.695 0.994 0.251
N: 0.749 0.217 0.528
N: 0.749 0.283 0.028
N: 0.810 0.719 0.528
N: 0.810 0.781 0.028

The value obtained for the formation energy without anion corrections is -0.571 eV/atom. The value obtained for the total moment is 0.00 μB/cell. Its space group is P2_1/c (14). The density of states at the Fermi level is 0.3034 states/eV/atom. As for the total energy: -8.803 eV/atom.

***

Entry 4:
Compound: Pr2ThReN5
Source: Alexandria
Functional: PBE
Structure: optimized geometry

Unit cell a=7.541 b=7.541 c=7.541 alpha=126.36 beta=126.36 gamma=79.29
Element x y z (fractional)
Pr: 0.170 0.670 0.840
Pr: 0.330 0.170 0.500
Pr: 0.670 0.830 0.500
Pr: 0.830 0.330 0.160
Th: 0.250 0.250 0.000
Th: 0.750 0.750 0.000
Re: 0.250 0.750 0.500
Re: 0.750 0.250 0.500
N: 0.000 0.000 0.000
N: 0.002 0.200 0.500
N: 0.200 0.700 0.197
N: 0.300 0.498 0.500
N: 0.498 0.998 0.197
N: 0.500 0.500 0.000
N: 0.502 0.002 0.803
N: 0.700 0.502 0.500
N: 0.800 0.300 0.803
N: 0.998 0.800 0.500

The value obtained for the formation energy without anion corrections is -0.956 eV/atom. The value obtained for the total moment is 0.00 μB/cell. Its space group is I4/mcm (140). The density of states at the Fermi level is 0.5948 states/eV/atom. As for the total energy: -8.851 eV/atom.

***

Please write out number 1 again, unchanged.
Compound: Pr2TaReN6
Source: Alexandria
Functional: PBE
Structure: optimized geometry

Unit cell a=5.671 b=5.681 c=9.782 alpha=90.00 beta=125.24 gamma=90.00
Element x y z (fractional)
Pr: 0.244 0.032 0.250
Pr: 0.244 0.468 0.750
Pr: 0.756 0.532 0.250
Pr: 0.756 0.968 0.750
Ta: 0.500 0.000 0.000
Ta: 0.500 0.500 0.500
Re: 0.000 0.000 0.500
Re: 0.000 0.500 0.000
N: 0.180 0.223 0.964
N: 0.180 0.277 0.464
N: 0.237 0.715 0.964
N: 0.237 0.785 0.464
N: 0.312 0.009 0.744
N: 0.312 0.491 0.244
N: 0.688 0.509 0.756
N: 0.688 0.991 0.256
N: 0.763 0.215 0.536
N: 0.763 0.285 0.036
N: 0.820 0.723 0.536
N: 0.820 0.777 0.036

The value obtained for the formation energy without anion corrections is -0.883 eV/atom. The value obtained for the total moment is 0.00 μB/cell. Its space group is P2_1/c (14). The density of states at the Fermi level is 0.5107 states/eV/atom. As for the total energy: -9.265 eV/atom.

***

Question: density of states at the Fermi level of number 2 (Pr2ReTcN5)?
Answer: 0.3379 states/eV/atom